! Sr2Al3Pd12Pt PBE optimized geometry; values from VASP
! Formation energy from the elements = -542 kJ/mol of formula units
! Size of the total moment = 0.00 μB per cell
! Calculated total energy = -88.56 eV/f.u.
&SYSTEM
  ibrav = 0, nat = 18, ntyp = 4
/
ATOMIC_SPECIES
Sr 87.62 Sr.upf
Al 26.98 Al.upf
Pd 106.42 Pd.upf
Pt 195.08 Pt.upf
CELL_PARAMETERS angstrom
4.6552 2.6877 4.3520
-4.6552 2.6877 4.3520
0.0000 -5.3753 4.3520
ATOMIC_POSITIONS crystal
Sr 0.1362 0.1362 0.1362
Sr 0.8638 0.8638 0.8638
Al 0.0000 0.5000 0.5000
Al 0.5000 0.0000 0.5000
Al 0.5000 0.5000 0.0000
Pd 0.1201 0.1201 0.5788
Pd 0.1201 0.5788 0.1201
Pd 0.1950 0.6853 0.6853
Pd 0.3147 0.3147 0.8050
Pd 0.3147 0.8050 0.3147
Pd 0.4212 0.8799 0.8799
Pd 0.5788 0.1201 0.1201
Pd 0.6853 0.1950 0.6853
Pd 0.6853 0.6853 0.1950
Pd 0.8050 0.3147 0.3147
Pd 0.8799 0.4212 0.8799
Pd 0.8799 0.8799 0.4212
Pt 0.5000 0.5000 0.5000